1.
DFT (GGA-PBE) results for a relaxed structure of Ac3NiAs.

- space-group type = Pm-3m
- DOS at the Fermi energy (states/eV/atom) = 0.984
- DFT formation energy (kJ per mole of atoms) = -23.0

abc: 5.580 5.580 5.580
angles: 90.00 90.00 90.00
Atoms (fractional coordinates):
Ni: 0.000 0.000 0.000
Ac: 0.000 0.000 0.500
As: 0.500 0.500 0.500
Ac: 0.000 0.500 0.000
Ac: 0.500 0.000 0.000


2.
DFT (GGA-PBE) results for a relaxed structure of AcNiAs.

- space-group type = F-43m
- E above lowest polymorph (eV per atom) = 0.2844
- DFT formation energy (kJ per mole of atoms) = -67.6

abc: 4.654 4.654 4.654
angles: 60.00 60.00 60.00
Atoms (fractional coordinates):
Ni: 0.250 0.250 0.250
Ac: 0.000 0.000 0.000
As: 0.500 0.500 0.500


3.
DFT (GGA-PBE) results for a relaxed structure of AcNi3As2.

- space-group type = C2/m
- DOS at the Fermi energy (states/eV/atom) = 0.853
- DFT formation energy (kJ per mole of atoms) = -60.3

abc: 4.032 8.000 7.324
angles: 113.63 90.00 104.60
Atoms (fractional coordinates):
Ni: 0.409 0.818 0.349
Ni: 0.962 0.923 0.615
Ni: 0.311 0.622 0.548
As: 0.812 0.625 0.337
Ni: 0.038 0.077 0.385
As: 0.526 0.051 0.220
As: 0.474 0.949 0.780
Ni: 0.591 0.182 0.651
Ni: 0.689 0.378 0.452
Ac: 0.851 0.702 0.931
As: 0.188 0.375 0.663
Ac: 0.149 0.298 0.069


4.
DFT (GGA-PBE) results for a relaxed structure of AcNiAs.

- space-group type = P6_3/mmc
- E above lowest polymorph (eV per atom) = 0.0000
- DOS at the Fermi energy (states/eV/atom) = 0.404
- DFT formation energy (kJ per mole of atoms) = -95.1

abc: 4.249 4.249 8.612
angles: 90.00 90.00 119.99
Atoms (fractional coordinates):
Ac: 0.000 0.500 0.000
Ac: 0.000 0.500 0.500
As: 0.333 0.167 0.250
As: 0.667 0.833 0.750
Ni: 0.333 0.167 0.750
Ni: 0.667 0.833 0.250


5.
DFT (GGA-PBE) results for a relaxed structure of AcNi2As2.

- space-group type = P4/nmm
- DOS at the Fermi energy (states/eV/atom) = 0.475
- DFT formation energy (kJ per mole of atoms) = -78.1

abc: 4.342 4.342 9.669
angles: 90.00 90.00 90.00
Atoms (fractional coordinates):
As: 0.000 0.500 0.126
As: 0.500 0.500 0.500
Ni: 0.500 0.000 0.614
As: 0.000 0.000 0.500
Ac: 0.500 0.000 0.246
Ni: 0.500 0.500 0.000
Ni: 0.000 0.500 0.386
As: 0.500 0.000 0.874
Ni: 0.000 0.000 0.000
Ac: 0.000 0.500 0.754


6.
DFT (GGA-PBE) results for a relaxed structure of AcNi4As2.

- space-group type = Pnma
- DOS at the Fermi energy (states/eV/atom) = 0.656
- DFT formation energy (kJ per mole of atoms) = -43.8

abc: 3.807 5.765 21.493
angles: 90.00 90.00 90.00
Atoms (fractional coordinates):
As: 0.750 0.251 0.958
As: 0.750 0.989 0.198
Ni: 0.750 0.792 0.773
Ni: 0.750 0.980 0.876
Ac: 0.250 0.520 0.863
Ni: 0.250 0.020 0.124
Ni: 0.750 0.708 0.273
Ni: 0.250 0.158 0.526
Ni: 0.250 0.517 0.454
Ni: 0.250 0.983 0.954
Ni: 0.250 0.480 0.624
Ni: 0.250 0.292 0.727
Ni: 0.250 0.342 0.026
Ni: 0.250 0.208 0.227
As: 0.250 0.749 0.042
As: 0.750 0.249 0.458
Ni: 0.750 0.017 0.046
Ni: 0.750 0.658 0.974
Ni: 0.750 0.483 0.546
Ni: 0.750 0.842 0.474
As: 0.250 0.751 0.542
Ac: 0.750 0.480 0.137
Ni: 0.750 0.520 0.376
As: 0.250 0.011 0.802
Ac: 0.750 0.020 0.637
As: 0.750 0.511 0.698
As: 0.250 0.489 0.302
Ac: 0.250 0.980 0.363